# 1
! PBE Cr2TcP, relaxed; values from VASP
! DFT formation energy, eV per atom: -0.12
! Fermi-level density of states, states/eV/f.u.: 4.00
! Density, Mg/m³: 7.9
! Calculated total energy, eV/cell: -35.51
&SYSTEM
  ibrav = 0, nat = 4, ntyp = 3
/
ATOMIC_SPECIES
Cr 52.00 Cr.upf
Tc 98.00 Tc.upf
P 30.97 P.upf
ATOMIC_POSITIONS angstrom
Cr 0.000 0.000 0.000
Cr 1.451 1.451 1.451
Tc 4.353 4.353 4.353
P 2.902 2.902 2.902
CELL_PARAMETERS angstrom
0.000 2.902 2.902
2.902 0.000 2.902
2.902 2.902 0.000

=====

# 2
! PBE ReP, relaxed; values from VASP
! DFT formation energy, eV per atom: 0.45
! Fermi-level density of states, states/eV/f.u.: 1.66
! Density, Mg/m³: 7.9
! ΔE to the lowest computed polymorph, meV per atom: 742
! Calculated total energy, eV/cell: -101.70
&SYSTEM
  ibrav = 0, nat = 12, ntyp = 2
/
ATOMIC_SPECIES
Re 186.21 Re.upf
P 30.97 P.upf
ATOMIC_POSITIONS angstrom
Re 0.000 1.625 3.251
Re 0.000 4.876 3.251
Re 1.625 3.251 0.000
Re 3.251 0.000 1.625
Re 3.251 0.000 4.876
Re 4.876 3.251 0.000
P 0.000 3.251 1.625
P 0.000 3.251 4.876
P 1.625 0.000 3.251
P 3.251 1.625 0.000
P 3.251 4.876 0.000
P 4.876 0.000 3.251
CELL_PARAMETERS angstrom
6.501 0.000 0.000
0.000 6.501 0.000
0.000 0.000 6.501

=====

What did the first record say?
! PBE Cr2TcP, relaxed; values from VASP
! DFT formation energy, eV per atom: -0.12
! Fermi-level density of states, states/eV/f.u.: 4.00
! Density, Mg/m³: 7.9
! Calculated total energy, eV/cell: -35.51
&SYSTEM
  ibrav = 0, nat = 4, ntyp = 3
/
ATOMIC_SPECIES
Cr 52.00 Cr.upf
Tc 98.00 Tc.upf
P 30.97 P.upf
ATOMIC_POSITIONS angstrom
Cr 0.000 0.000 0.000
Cr 1.451 1.451 1.451
Tc 4.353 4.353 4.353
P 2.902 2.902 2.902
CELL_PARAMETERS angstrom
0.000 2.902 2.902
2.902 0.000 2.902
2.902 2.902 0.000

=====

- Fermi-level density of states of number 2 (ReP)?
  1.66 states/eV/f.u.

=====

What did the second record say?
! PBE ReP, relaxed; values from VASP
! DFT formation energy, eV per atom: 0.45
! Fermi-level density of states, states/eV/f.u.: 1.66
! Density, Mg/m³: 7.9
! ΔE to the lowest computed polymorph, meV per atom: 742
! Calculated total energy, eV/cell: -101.70
&SYSTEM
  ibrav = 0, nat = 12, ntyp = 2
/
ATOMIC_SPECIES
Re 186.21 Re.upf
P 30.97 P.upf
ATOMIC_POSITIONS angstrom
Re 0.000 1.625 3.251
Re 0.000 4.876 3.251
Re 1.625 3.251 0.000
Re 3.251 0.000 1.625
Re 3.251 0.000 4.876
Re 4.876 3.251 0.000
P 0.000 3.251 1.625
P 0.000 3.251 4.876
P 1.625 0.000 3.251
P 3.251 1.625 0.000
P 3.251 4.876 0.000
P 4.876 0.000 3.251
CELL_PARAMETERS angstrom
6.501 0.000 0.000
0.000 6.501 0.000
0.000 0.000 6.501